(1)
The following is a PBE calculation of crystalline PrNd2Tm2 at its relaxed geometry, from Alexandria.

a = 9.3996 Å, b = 9.3996 Å, c = 3.8306 Å
α = 90.00°, β = 90.00°, γ = 90.00°
Closest atoms and distances in Å follow each position.
Space group P4/mbm (No. 127)
One atom of each set of equivalent atoms:
Pr1 0.0000 0.0000 0.0000  4 Nd 3.69, 2 Pr 3.83, 8 Tm 3.98
Nd1 0.1287 0.3713 0.0000  6 Tm 3.30-3.41, 1 Nd 3.42, 2 Pr 3.69
Tm1 0.1689 0.6689 0.5000  6 Nd 3.30-3.41

The relative energy among the computed polymorphs is 0.0000 eV per atom. The energy of formation is 0.08 eV/atom.

***

(2)
The following is a PBE calculation of crystalline LiBe2SiSe4 at its relaxed geometry, from Alexandria.

a = 5.4174 Å, b = 5.4174 Å, c = 11.1908 Å
α = 90.00°, β = 90.00°, γ = 90.00°
Closest atoms and distances in Å follow each position.
Space group I-42m (No. 121)
One atom of each set of equivalent atoms:
Li1 0.0000 0.0000 0.0000  4 Se 2.45
Be1 0.0000 0.5000 0.2500  4 Se 2.28
Si1 0.0000 0.0000 0.5000  4 Se 2.49
Se1 0.2460 0.2460 0.8606  2 Be 2.28, 1 Li 2.45, 1 Si 2.49

The uncorrected formation energy comes out at -0.566 eV/atom.

***

(3)
The following is a PBE calculation of crystalline TlHgRh2 at its relaxed geometry, from Alexandria.

a = 3.0892 Å, b = 4.1861 Å, c = 5.6859 Å
α = 90.00°, β = 90.00°, γ = 90.00°
Closest atoms and distances in Å follow each position.
Space group Pmm2 (No. 25)
One atom of each set of equivalent atoms:
Tl1 0.0000 0.0000 0.0000  6 Rh 2.76-2.93, 2 Tl 3.09
Hg1 0.5000 0.5000 0.3308  6 Rh 2.74-2.95
Rh1 0.0000 0.0000 0.5147  2 Tl 2.76-2.93, 4 Hg 2.80, 2 Rh 3.09
Rh2 0.5000 0.5000 0.8119  2 Hg 2.74-2.95, 4 Tl 2.81

The energy of formation is 0.28 eV/atom.